Entry 1:
This record from the Alexandria database describes crystalline Li8Sm7Ge10 at its relaxed geometry. The functional is PBE.

* crystal system: orthorhombic
* formation energy from the elements: -0.692 eV per atom
* SG: No. 65

a b c (Å): 16.953 16.953 4.394
angles (deg): 90.00 90.00 156.67
Sites, in units of the cell vectors:
Li 0.266 0.115 0.500
Li 0.734 0.885 0.500
Li 0.115 0.266 0.500
Li 0.885 0.734 0.500
Li 0.455 0.169 0.000
Li 0.545 0.831 0.000
Li 0.169 0.455 0.000
Li 0.831 0.545 0.000
Sm 0.161 0.839 0.500
Sm 0.839 0.161 0.500
Sm 0.279 0.721 0.500
Sm 0.721 0.279 0.500
Sm 0.443 0.557 0.000
Sm 0.557 0.443 0.000
Sm 0.000 0.000 0.000
Ge 0.399 0.970 0.000
Ge 0.601 0.030 0.000
Ge 0.970 0.399 0.000
Ge 0.030 0.601 0.000
Ge 0.374 0.626 0.500
Ge 0.626 0.374 0.500
Ge 0.094 0.906 0.000
Ge 0.906 0.094 0.000
Ge 0.313 0.313 0.500
Ge 0.687 0.687 0.500

=====

Entry 2:
This record from the Alexandria database describes crystalline LiNdFe at its relaxed geometry. The functional is PBE.

* crystal system: monoclinic
* formation energy from the elements: 0.199 eV per atom
* SG: No. 12

a b c (Å): 3.866 5.146 6.933
angles (deg): 100.58 106.19 90.00
Sites, in units of the cell vectors:
Fe 0.762 0.091 0.525
Fe 0.238 0.909 0.475
Li 0.587 0.815 0.174
Li 0.413 0.185 0.826
Nd 0.866 0.657 0.732
Nd 0.134 0.343 0.268

=====

Entry 3:
This record from the Alexandria database describes crystalline AlGePt2 at its relaxed geometry. The functional is PBE.

* crystal system: tetragonal
* formation energy from the elements: -0.314 eV per atom
* SG: No. 122

a b c (Å): 5.561 5.561 6.930
angles (deg): 66.35 66.35 90.00
Sites, in units of the cell vectors:
Ge 0.000 0.000 0.000
Ge 0.750 0.250 0.500
Al 0.500 0.500 0.000
Al 0.250 0.750 0.500
Pt 0.627 0.125 0.250
Pt 0.123 0.625 0.250
Pt 0.375 0.373 0.750
Pt 0.875 0.877 0.750

=====

Entry 4:
This record from the Alexandria database describes crystalline ErHgCl3 at its relaxed geometry. The functional is PBE.

* E_form (uncorrected): -1698 meV per atom
* crystal system: cubic
* SG: No. 221

a b c (Å): 5.289 5.289 5.289
angles (deg): 90.00 90.00 90.00
Sites, in units of the cell vectors:
Cl 0.000 0.500 0.000
Cl 0.000 0.000 0.500
Cl 0.500 0.000 0.000
Hg 0.500 0.500 0.500
Er 0.000 0.000 0.000

=====

| no. | uncorrected energy (eV/atom) |
| --- | --- |
| 1 | -4.473 |
| 2 | -4.849 |
| 3 | -5.425 |
| 4 | -3.779 |